Here is a relaxed structure of Fe3HIr from the Alexandria database. Energies are from GGA-PBE.

Structure (POSCAR):
```
Fe3HIr
1.0
4.708 0.000 0.000
0.000 4.708 0.000
0.000 0.000 4.708
Fe H Ir
3 1 1
Direct
0.000 0.000 0.500
0.000 0.500 0.000
0.500 0.000 0.000
0.500 0.500 0.500
0.000 0.000 0.000
```

Properties
The total energy is -5.818 eV/atom. The value obtained for the volume is 104.4 Å³ per cell. The energy relative to the lowest polymorph listed for this composition comes out at 1.6879 eV per atom. As for the density of states at the Fermi level: 1.099 states/eV per atom.

Here is a relaxed structure of Ba2HfAgSe5 from the Alexandria database. Energies are from GGA-PBE.

Structure (POSCAR):
```
Ba2HfAgSe5
1.0
2.057 -9.809 0.000
2.057 9.809 0.000
0.000 0.000 13.102
Ba Hf Ag Se
4 2 2 10
Direct
0.120 0.880 0.500
0.125 0.875 0.109
0.875 0.125 0.609
0.880 0.120 0.000
0.216 0.784 0.810
0.784 0.216 0.310
0.452 0.548 0.238
0.548 0.452 0.738
0.079 0.921 0.846
0.287 0.713 0.448
0.294 0.706 0.171
0.349 0.651 0.807
0.499 0.501 0.561
0.501 0.499 0.061
0.651 0.349 0.307
0.706 0.294 0.671
0.713 0.287 0.948
0.921 0.079 0.346
```

Properties
The total energy is -5.110 eV/atom. The value obtained for the volume is 528.7 Å³ per cell. The value obtained for the raw formation energy is -1.32 eV/atom. As for the density of states at the Fermi level: 0.398 states/eV per atom.

Here is a relaxed structure of Y2FeCl from the Alexandria database. Energies are from GGA-PBE.

Structure (POSCAR):
```
Y2FeCl
1.0
3.922 0.000 0.000
0.000 6.003 0.000
0.000 0.000 7.943
Y Fe Cl
4 2 2
Direct
0.000 0.000 0.247
0.000 0.000 0.753
0.500 0.500 0.253
0.500 0.500 0.747
0.000 0.500 0.500
0.500 0.000 0.000
0.000 0.500 0.000
0.500 0.000 0.500
```

Properties
The total energy is -6.007 eV/atom. The value obtained for the volume is 187.1 Å³ per cell. The energy relative to the lowest polymorph listed for this composition comes out at 0.4398 eV per atom. The value obtained for the raw formation energy is -0.20 eV/atom. As for the density of states at the Fermi level: 1.132 states/eV per atom.

Here is a relaxed structure of PaCuAu from the Alexandria database. Energies are from GGA-PBE.

Structure (POSCAR):
```
PaCuAu
1.0
4.611 0.000 0.000
-2.305 3.993 0.000
0.000 0.000 3.177
Pa Cu Au
1 1 1
Direct
0.000 0.000 0.000
0.333 0.667 0.500
0.667 0.333 0.500
```

Properties
The total energy is -5.909 eV/atom. The value obtained for the volume is 58.5 Å³ per cell. The energy relative to the lowest polymorph listed for this composition comes out at 0.0000 eV per atom. As for the density of states at the Fermi level: 0.902 states/eV per atom.

Here is a relaxed structure of TlBRh3 from the Alexandria database. Energies are from GGA-PBE.

Structure (POSCAR):
```
TlBRh3
1.0
-2.099 2.125 8.254
2.099 -2.125 8.254
2.099 2.125 -8.254
Tl B Rh
2 2 6
Direct
0.323 0.073 0.250
0.677 0.927 0.750
0.072 0.322 0.750
0.928 0.678 0.250
0.057 0.807 0.250
0.195 0.445 0.750
0.436 0.686 0.750
0.564 0.314 0.250
0.805 0.555 0.250
0.943 0.193 0.750
```

Properties
The total energy is -6.317 eV/atom. The value obtained for the volume is 147.3 Å³ per cell. As for the density of states at the Fermi level: 0.729 states/eV per atom.

Here is a relaxed structure of KYCu3 from the Alexandria database. Energies are from GGA-PBE.

Structure (POSCAR):
```
KYCu3
1.0
4.989 0.000 0.000
0.000 4.989 0.000
0.000 0.000 4.989
K Y Cu
1 1 3
Direct
0.000 0.000 0.000
0.500 0.500 0.500
0.000 0.000 0.500
0.000 0.500 0.000
0.500 0.000 0.000
```

Properties
The total energy is -2.836 eV/atom. The value obtained for the volume is 124.2 Å³ per cell. The energy relative to the lowest polymorph listed for this composition comes out at 0.4332 eV per atom. As for the density of states at the Fermi level: 0.611 states/eV per atom.

Here is a relaxed structure of Pm5Sn5O from the Alexandria database. Energies are from GGA-PBE.

Structure (POSCAR):
```
Pm5Sn5O
1.0
6.222 -2.945 0.000
6.222 2.945 0.000
-4.241 0.000 8.318
Pm Sn O
5 5 1
Direct
0.000 0.000 0.000
0.341 0.341 0.096
0.349 0.349 0.722
0.651 0.651 0.278
0.659 0.659 0.904
0.071 0.071 0.713
0.224 0.224 0.345
0.500 0.500 0.500
0.776 0.776 0.655
0.929 0.929 0.287
0.500 0.500 0.000
```

Properties
The total energy is -5.246 eV/atom. The value obtained for the volume is 304.8 Å³ per cell. The value obtained for the raw formation energy is -0.82 eV/atom. As for the density of states at the Fermi level: 0.686 states/eV per atom.

Here is a relaxed structure of MgCuNiRu from the Alexandria database. Energies are from GGA-PBE.

Structure (POSCAR):
```
MgCuNiRu
1.0
6.012 0.000 0.000
0.000 6.012 0.000
0.000 0.000 6.012
Mg Cu Ni Ru
4 4 4 4
Direct
0.000 0.000 0.000
0.000 0.500 0.500
0.500 0.000 0.500
0.500 0.500 0.000
0.250 0.250 0.250
0.250 0.750 0.750
0.750 0.250 0.750
0.750 0.750 0.250
0.250 0.250 0.750
0.250 0.750 0.250
0.750 0.250 0.250
0.750 0.750 0.750
0.000 0.000 0.500
0.000 0.500 0.000
0.500 0.000 0.000
0.500 0.500 0.500
```

Properties
The total energy is -5.075 eV/atom. The value obtained for the volume is 217.3 Å³ per cell. As for the density of states at the Fermi level: 1.303 states/eV per atom.

Here is a relaxed structure of Li6Bi5Sb from the Alexandria database. Energies are from GGA-PBE.

Structure (POSCAR):
```
Li6Bi5Sb
1.0
4.259 -7.872 0.000
4.259 7.872 0.000
-3.116 0.000 4.178
Li Bi Sb
6 5 1
Direct
0.081 0.399 0.739
0.232 0.232 0.232
0.399 0.081 0.739
0.601 0.919 0.261
0.768 0.768 0.768
0.919 0.601 0.261
0.174 0.826 0.000
0.332 0.668 0.500
0.500 0.500 0.000
0.668 0.332 0.500
0.826 0.174 0.000
0.000 0.000 0.500
```

Properties
The total energy is -3.281 eV/atom. The value obtained for the volume is 280.1 Å³ per cell. The value obtained for the raw formation energy is -0.36 eV/atom. As for the density of states at the Fermi level: 0.310 states/eV per atom.

Here is a relaxed structure of CsSb2AsI from the Alexandria database. Energies are from GGA-PBE.

Structure (POSCAR):
```
CsSb2AsI
1.0
8.392 0.000 0.000
0.000 8.392 0.000
0.000 0.000 7.166
Cs Sb As I
1 2 1 1
Direct
0.000 0.000 0.000
0.000 0.500 0.000
0.500 0.000 0.000
0.500 0.500 0.500
0.000 0.000 0.500
```

Properties
The total energy is -1.862 eV/atom. The value obtained for the volume is 504.7 Å³ per cell. The energy relative to the lowest polymorph listed for this composition comes out at 1.1791 eV per atom. The value obtained for the raw formation energy is 1.20 eV/atom.

Here is a relaxed structure of Ba2Ca3Pb4 from the Alexandria database. Energies are from GGA-PBE.

Structure (POSCAR):
```
Ba2Ca3Pb4
1.0
8.971 0.000 0.000
0.000 8.929 0.000
-2.683 0.000 8.172
Ba Ca Pb
4 6 8
Direct
0.191 0.174 0.066
0.191 0.326 0.566
0.809 0.674 0.434
0.809 0.826 0.934
0.249 0.671 0.249
0.249 0.829 0.749
0.500 0.000 0.500
0.500 0.500 0.000
0.751 0.171 0.251
0.751 0.329 0.751
0.082 0.537 0.867
0.082 0.963 0.367
0.497 0.625 0.626
0.497 0.875 0.126
0.503 0.125 0.874
0.503 0.375 0.374
0.918 0.037 0.633
0.918 0.463 0.133
```

Properties
The total energy is -3.297 eV/atom. The value obtained for the volume is 654.7 Å³ per cell. The energy relative to the lowest polymorph listed for this composition comes out at 0.0000 eV per atom. As for the density of states at the Fermi level: 1.049 states/eV per atom.

Here is a relaxed structure of MgAlTl2 from the Alexandria database. Energies are from GGA-PBE.

Structure (POSCAR):
```
MgAlTl2
1.0
3.341 0.000 0.000
-1.671 2.894 0.000
0.000 0.000 30.560
Mg Al Tl
3 3 6
Direct
0.000 0.000 0.000
0.333 0.667 0.667
0.667 0.333 0.333
0.000 0.000 0.500
0.333 0.667 0.167
0.667 0.333 0.833
0.000 0.000 0.248
0.000 0.000 0.752
0.333 0.667 0.418
0.333 0.667 0.915
0.667 0.333 0.085
0.667 0.333 0.582
```

Properties
The total energy is -2.372 eV/atom. The value obtained for the volume is 295.5 Å³ per cell. The energy relative to the lowest polymorph listed for this composition comes out at 0.0534 eV per atom. As for the density of states at the Fermi level: 0.354 states/eV per atom.